Compound: FeSi2RuO
Source: Alexandria
Functional: PBE with a Hubbard U
Structure: optimized geometry

Geometry as POSCAR:
```
FeSi2RuO
1.0
4.882 0.000 0.000
0.000 4.882 0.000
0.000 0.000 3.659
Fe Si Ru O
1 2 1 1
Cartesian
0.000 0.000 0.000
0.000 2.441 1.829
2.441 0.000 1.829
2.441 2.441 1.829
2.441 2.441 0.000
```

D(E_F): 0.38 states/eV per atom
Raw total energy: -5.736 eV/atom
Symmetry: P4/mmm, No. 123